A geometry-optimized Ho3ZrH structure, computed with PBE-GGA.

abc: 4.841 4.841 4.841
angles: 90.00 90.00 90.00
Atoms (fractional coordinates):
Ho1 0.000 0.000 0.500
Ho2 0.000 0.500 0.000
Ho3 0.500 0.000 0.000
Zr1 0.500 0.500 0.500
H1 0.000 0.000 0.000

Output
The total moment is 0.0 μB per formula unit. For the density, the calculation gives 8591 kg/m³. For the uncorrected energy, the calculation gives -5.23 eV per atom.


A geometry-optimized HoZr3H structure, computed with PBE-GGA.

abc: 4.631 4.631 4.631
angles: 90.00 90.00 90.00
Atoms (fractional coordinates):
Ho1 0.000 0.000 0.000
Zr1 0.000 0.500 0.500
Zr2 0.500 0.000 0.500
Zr3 0.500 0.500 0.000
H1 0.500 0.500 0.500

Output
The total moment is 0.0 μB per formula unit. For the density, the calculation gives 7351 kg/m³. For the uncorrected energy, the calculation gives -6.77 eV per atom.


A geometry-optimized HoZr2H8 structure, computed with PBE-GGA.

abc: 5.876 5.876 5.876
angles: 148.05 122.51 67.30
Atoms (fractional coordinates):
Ho1 0.000 0.000 0.000
Zr1 0.328 0.328 0.000
Zr2 0.672 0.672 0.000
H1 0.100 0.836 0.264
H2 0.176 0.676 0.500
H3 0.277 0.500 0.777
H4 0.428 0.164 0.264
H5 0.572 0.836 0.736
H6 0.723 0.500 0.223
H7 0.824 0.324 0.500
H8 0.900 0.164 0.736

Output
The total moment is 0.0 μB per formula unit. For the density, the calculation gives 6601 kg/m³. For the uncorrected energy, the calculation gives -4.84 eV per atom.


A geometry-optimized HoZrH2 structure, computed with PBE-GGA.

abc: 3.347 3.347 16.768
angles: 90.00 90.00 120.00
Atoms (fractional coordinates):
Ho1 0.000 0.000 0.000
Ho2 0.333 0.667 0.667
Ho3 0.667 0.333 0.333
Zr1 0.000 0.000 0.822
Zr2 0.333 0.667 0.489
Zr3 0.667 0.333 0.155
H1 0.000 0.000 0.420
H2 0.000 0.000 0.569
H3 0.333 0.667 0.087
H4 0.333 0.667 0.236
H5 0.667 0.333 0.753
H6 0.667 0.333 0.902

Output
For the relative energy among the computed polymorphs, the calculation gives 114 meV/atom. The total moment is 0.0 μB per formula unit. For the density, the calculation gives 7906 kg/m³. For the uncorrected energy, the calculation gives -5.17 eV per atom.


A geometry-optimized Ho2ZrH8 structure, computed with PBE-GGA.

abc: 6.129 6.129 6.129
angles: 145.26 133.73 59.13
Atoms (fractional coordinates):
Ho1 0.167 0.167 0.000
Ho2 0.833 0.833 0.000
Zr1 0.500 0.500 0.000
H1 0.090 0.346 0.744
H2 0.257 0.000 0.257
H3 0.330 0.830 0.500
H4 0.398 0.654 0.744
H5 0.602 0.346 0.256
H6 0.670 0.170 0.500
H7 0.743 0.000 0.743
H8 0.910 0.654 0.256

Output
The total moment is 0.0 μB per formula unit. For the density, the calculation gives 7586 kg/m³. For the uncorrected energy, the calculation gives -4.56 eV per atom.


A geometry-optimized HoZrH4 structure, computed with PBE-GGA.

abc: 3.474 3.474 5.048
angles: 90.00 90.00 90.00
Atoms (fractional coordinates):
Ho1 0.000 0.000 0.000
Zr1 0.500 0.500 0.500
H1 0.000 0.500 0.268
H2 0.000 0.500 0.732
H3 0.500 0.000 0.268
H4 0.500 0.000 0.732

Output
The total moment is 0.0 μB per formula unit. For the density, the calculation gives 7093 kg/m³. For the uncorrected energy, the calculation gives -5.06 eV per atom.


A geometry-optimized H4I structure, computed with PBE-GGA.

abc: 3.871 3.871 3.871
angles: 90.00 90.00 90.00
Atoms (fractional coordinates):
H1 0.000 0.000 0.000
H2 0.000 0.500 0.500
H3 0.500 0.000 0.500
H4 0.500 0.500 0.000
I1 0.500 0.500 0.500

Output
For the relative energy among the computed polymorphs, the calculation gives 895 meV/atom. The total moment is 0.3 μB per formula unit. For the density, the calculation gives 3748 kg/m³. For the uncorrected energy, the calculation gives -1.89 eV per atom.


A geometry-optimized HI2 structure, computed with PBE-GGA.

abc: 5.596 7.700 7.766
angles: 83.20 68.90 70.26
Atoms (fractional coordinates):
H1 0.067 0.001 0.000
H2 0.933 0.999 0.000
I1 0.276 0.443 0.000
I2 0.278 0.002 0.443
I3 0.722 0.998 0.557
I4 0.724 0.557 0.000

Output
The total moment is 0.0 μB per formula unit. For the density, the calculation gives 2880 kg/m³. For the uncorrected energy, the calculation gives -2.13 eV per atom.